(1)
Material: Ca2TeO5
Method: DFT, PBE
State: relaxed

Output
formation energy without anion corrections = -205.1 kJ/mol of atoms
excess energy over the best structure of this formula in the dataset = 45 meV per atom
E = -195.769 eV for the cell shown

```
data_Ca2TeO5
_chemical_formula_sum 'Ca8 Te4 O20'
_symmetry_space_group_name_H-M 'C m c m'
_symmetry_Int_Tables_number 63
_symmetry_space_group_name_Hall '-C 2c 2'
_cell_length_a 4.077
_cell_length_b 11.515
_cell_length_c 10.637
_cell_angle_alpha 90.00
_cell_angle_beta 90.00
_cell_angle_gamma 90.00
loop_
_atom_site_label
_atom_site_type_symbol
_atom_site_fract_x
_atom_site_fract_y
_atom_site_fract_z
Ca1 Ca 0.000 0.141 0.073
Te1 Te 0.000 0.166 0.750
O1 O 0.000 0.050 0.623
O2 O 0.000 0.280 0.614
O3 O 0.000 0.298 0.250
```

(2)
Material: CaTeO2
Method: DFT, PBE
State: relaxed

Output
formation energy without anion corrections = -124.6 kJ/mol of atoms
E = -80.899 eV for the cell shown

```
data_CaTeO2
_chemical_formula_sum 'Ca4 Te4 O8'
_symmetry_space_group_name_H-M 'I -4 2 d'
_symmetry_Int_Tables_number 122
_symmetry_space_group_name_Hall 'I -4 2bw'
_cell_length_a 4.760
_cell_length_b 4.760
_cell_length_c 13.121
_cell_angle_alpha 90.00
_cell_angle_beta 90.00
_cell_angle_gamma 90.00
loop_
_atom_site_label
_atom_site_type_symbol
_atom_site_fract_x
_atom_site_fract_y
_atom_site_fract_z
Ca1 Ca 0.000 0.000 0.000
Te1 Te 0.000 0.000 0.500
O1 O 0.233 0.250 0.625
```

(3)
Material: Ca2Te2O7
Method: DFT, PBE
State: relaxed

Output
formation energy without anion corrections = -169.7 kJ/mol of atoms
excess energy over the best structure of this formula in the dataset = 77 meV per atom
E = -64.343 eV for the cell shown

```
data_Ca2Te2O7
_chemical_formula_sum 'Ca2 Te2 O7'
_symmetry_space_group_name_H-M 'P -1'
_symmetry_Int_Tables_number 2
_cell_length_a 5.774
_cell_length_b 5.971
_cell_length_c 5.972
_cell_angle_alpha 107.69
_cell_angle_beta 94.22
_cell_angle_gamma 94.11
loop_
_symmetry_equiv_pos_as_xyz
'x,y,z'
'-x,-y,-z'
loop_
_atom_site_label
_atom_site_type_symbol
_atom_site_fract_x
_atom_site_fract_y
_atom_site_fract_z
Ca1 Ca 0.000 0.196 0.304
Te1 Te 0.383 0.762 0.262
O1 O 0.188 0.565 0.381
O2 O 0.188 0.881 0.066
O3 O 0.285 0.036 0.536
O4 O 0.500 0.500 0.000
```

(4)
Material: CaTe2O5
Method: DFT, PBE
State: relaxed

Output
formation energy without anion corrections = -157.9 kJ/mol of atoms
excess energy over the best structure of this formula in the dataset = 22 meV per atom
E = -184.689 eV for the cell shown

```
data_CaTe2O5
_chemical_formula_sum 'Ca4 Te8 O20'
_symmetry_space_group_name_H-M 'P b c n'
_symmetry_Int_Tables_number 60
_cell_length_a 7.528
_cell_length_b 11.663
_cell_length_c 6.630
_cell_angle_alpha 90.00
_cell_angle_beta 90.00
_cell_angle_gamma 90.00
loop_
_symmetry_equiv_pos_as_xyz
'x,y,z'
'-x,-y,-z'
'-x+1/2,-y+1/2,z+1/2'
'x+1/2,y+1/2,-z+1/2'
'x+1/2,-y+1/2,-z'
'-x+1/2,y+1/2,z'
'-x,y,-z+1/2'
'x,-y,z+1/2'
loop_
_atom_site_label
_atom_site_type_symbol
_atom_site_fract_x
_atom_site_fract_y
_atom_site_fract_z
Ca1 Ca 0.000 0.058 0.250
Te1 Te 0.132 0.341 0.033
O1 O 0.000 0.426 0.250
O2 O 0.162 0.070 0.552
O3 O 0.199 0.214 0.191
```

(5)
Material: CaTeO2
Method: DFT, PBE
State: relaxed

Output
formation energy without anion corrections = -118.0 kJ/mol of atoms
E = -59.860 eV for the cell shown

```
data_CaTeO2
_chemical_formula_sum 'Ca3 Te3 O6'
_symmetry_space_group_name_H-M 'R -3 m'
_symmetry_Int_Tables_number 166
_symmetry_space_group_name_Hall '-R 3 2"'
_cell_length_a 3.8483
_cell_length_b 3.8483
_cell_length_c 14.1071
_cell_angle_alpha 90.00
_cell_angle_beta 90.00
_cell_angle_gamma 120.00
loop_
_atom_site_label
_atom_site_type_symbol
_atom_site_fract_x
_atom_site_fract_y
_atom_site_fract_z
Ca1 Ca 0.0000 0.0000 0.0000
Te1 Te 0.0000 0.0000 0.5000
O1 O 0.0000 0.0000 0.2358
```

(6)
Material: CaTe3O
Method: DFT, PBE
State: relaxed

Output
formation energy without anion corrections = 61.3 kJ/mol of atoms
excess energy over the best structure of this formula in the dataset = 1180 meV per atom
E = -13.211 eV for the cell shown

```
data_CaTe3O
_chemical_formula_sum 'Ca1 Te3 O1'
_symmetry_space_group_name_H-M 'P m -3 m'
_symmetry_Int_Tables_number 221
_symmetry_space_group_name_Hall '-P 4 2 3'
_cell_length_a 5.774
_cell_length_b 5.774
_cell_length_c 5.774
_cell_angle_alpha 90.00
_cell_angle_beta 90.00
_cell_angle_gamma 90.00
loop_
_atom_site_label
_atom_site_type_symbol
_atom_site_fract_x
_atom_site_fract_y
_atom_site_fract_z
Ca1 Ca 0.000 0.000 0.000
Te1 Te 0.000 0.000 0.500
O1 O 0.500 0.500 0.500
```

(7)
Material: CaTe3O
Method: DFT, PBE
State: relaxed

Output
formation energy without anion corrections = -52.6 kJ/mol of atoms
excess energy over the best structure of this formula in the dataset = 0 meV per atom
E = -19.113 eV for the cell shown

```
data_CaTe3O
_chemical_formula_sum 'Ca1 Te3 O1'
_symmetry_space_group_name_H-M 'P m -3 m'
_symmetry_Int_Tables_number 221
_symmetry_space_group_name_Hall '-P 4 2 3'
_cell_length_a 4.928
_cell_length_b 4.928
_cell_length_c 4.928
_cell_angle_alpha 90.00
_cell_angle_beta 90.00
_cell_angle_gamma 90.00
loop_
_atom_site_label
_atom_site_type_symbol
_atom_site_fract_x
_atom_site_fract_y
_atom_site_fract_z
Ca1 Ca 0.000 0.000 0.000
Te1 Te 0.000 0.500 0.500
O1 O 0.500 0.500 0.500
```

(8)
Material: CaThTeO6
Method: DFT, PBE
State: relaxed

Output
formation energy without anion corrections = -228.2 kJ/mol of atoms
E = -127.205 eV for the cell shown

```
data_CaThTeO6
_chemical_formula_sum 'Ca2 Th2 Te2 O12'
_symmetry_space_group_name_H-M 'P -3 1 c'
_symmetry_Int_Tables_number 163
_symmetry_space_group_name_Hall '-P 3 2c'
_cell_length_a 5.7653
_cell_length_b 5.7653
_cell_length_c 9.5029
_cell_angle_alpha 90.00
_cell_angle_beta 90.00
_cell_angle_gamma 120.00
loop_
_atom_site_label
_atom_site_type_symbol
_atom_site_fract_x
_atom_site_fract_y
_atom_site_fract_z
Ca1 Ca 0.0000 0.0000 0.0000
Th1 Th 0.3333 0.6667 0.2500
Te1 Te 0.3333 0.6667 0.7500
O1 O 0.0489 0.3833 0.6363
```

(9)
Material: CaTi2TeO8
Method: DFT, PBE
State: relaxed

Output
formation energy without anion corrections = -225.9 kJ/mol of atoms
E = -177.382 eV for the cell shown

```
data_CaTi2TeO8
_chemical_formula_sum 'Ca2 Ti4 Te2 O16'
_symmetry_space_group_name_H-M 'C 1 2/m 1'
_symmetry_Int_Tables_number 12
_cell_length_a 7.318
_cell_length_b 6.347
_cell_length_c 6.637
_cell_angle_alpha 90.00
_cell_angle_beta 97.30
_cell_angle_gamma 90.00
loop_
_symmetry_equiv_pos_as_xyz
'x,y,z'
'-x,-y,-z'
'-x,y,-z'
'x,-y,z'
'x+1/2,y+1/2,z'
'-x+1/2,-y+1/2,-z'
'-x+1/2,y+1/2,-z'
'x+1/2,-y+1/2,z'
loop_
_atom_site_label
_atom_site_type_symbol
_atom_site_fract_x
_atom_site_fract_y
_atom_site_fract_z
Ca1 Ca 0.000 0.000 0.000
Ti1 Ti 0.055 0.500 0.229
Te1 Te 0.000 0.000 0.500
O1 O 0.005 0.210 0.716
O2 O 0.172 0.500 0.010
O3 O 0.235 0.500 0.463
```

(10)
Material: CaTiTe2O8
Method: DFT, PBE
State: relaxed

Output
formation energy without anion corrections = -171.0 kJ/mol of atoms
E = -154.224 eV for the cell shown

```
data_CaTiTe2O8
_chemical_formula_sum 'Ca2 Ti2 Te4 O16'
_symmetry_space_group_name_H-M 'C m m m'
_symmetry_Int_Tables_number 65
_symmetry_space_group_name_Hall '-C 2 2'
_cell_length_a 6.697
_cell_length_b 7.040
_cell_length_c 6.616
_cell_angle_alpha 90.00
_cell_angle_beta 90.00
_cell_angle_gamma 90.00
loop_
_atom_site_label
_atom_site_type_symbol
_atom_site_fract_x
_atom_site_fract_y
_atom_site_fract_z
Ca1 Ca 0.000 0.000 0.000
Ti1 Ti 0.000 0.000 0.500
Te1 Te 0.000 0.500 0.256
O1 O 0.000 0.303 0.500
O2 O 0.000 0.327 0.000
O3 O 0.198 0.000 0.283
```

(11)
Material: CaTiTeO5
Method: DFT, PBE
State: relaxed

Output
formation energy without anion corrections = -213.8 kJ/mol of atoms
E = -222.210 eV for the cell shown

```
data_CaTiTeO5
_chemical_formula_sum 'Ca4 Ti4 Te4 O20'
_symmetry_space_group_name_H-M 'C 1 2/c 1'
_symmetry_Int_Tables_number 15
_cell_length_a 7.605
_cell_length_b 8.714
_cell_length_c 7.772
_cell_angle_alpha 90.00
_cell_angle_beta 116.34
_cell_angle_gamma 90.00
loop_
_symmetry_equiv_pos_as_xyz
'x,y,z'
'-x,-y,-z'
'-x,y,-z+1/2'
'x,-y,z+1/2'
'x+1/2,y+1/2,z'
'-x+1/2,-y+1/2,-z'
'-x+1/2,y+1/2,-z+1/2'
'x+1/2,-y+1/2,z+1/2'
loop_
_atom_site_label
_atom_site_type_symbol
_atom_site_fract_x
_atom_site_fract_y
_atom_site_fract_z
Ca1 Ca 0.000 0.055 0.250
Ti1 Ti 0.250 0.250 0.000
Te1 Te 0.000 0.456 0.250
O1 O 0.000 0.237 0.750
O2 O 0.080 0.293 0.132
O3 O 0.219 0.030 0.042
```

(12)
Material: Ca2TlTeO6
Method: DFT, PBE
State: relaxed

Output
formation energy without anion corrections = -173.9 kJ/mol of atoms
E = -171.850 eV for the cell shown

```
data_Ca2TlTeO6
_chemical_formula_sum 'Ca6 Tl3 Te3 O18'
_symmetry_space_group_name_H-M 'R 3'
_symmetry_Int_Tables_number 146
_symmetry_space_group_name_Hall 'R 3'
_cell_length_a 5.8131
_cell_length_b 5.8131
_cell_length_c 15.4226
_cell_angle_alpha 90.00
_cell_angle_beta 90.00
_cell_angle_gamma 120.00
loop_
_atom_site_label
_atom_site_type_symbol
_atom_site_fract_x
_atom_site_fract_y
_atom_site_fract_z
Ca1 Ca 0.0000 0.0000 0.0000
Ca2 Ca 0.0000 0.0000 0.4846
Tl1 Tl 0.0000 0.0000 0.2205
Te1 Te 0.0000 0.0000 0.6940
O1 O 0.0016 0.7353 0.6102
O2 O 0.0259 0.3014 0.7580
```

(13)
Material: Ca2Tl3TeO6
Method: DFT, PBE
State: relaxed

Output
formation energy without anion corrections = -149.6 kJ/mol of atoms
E = -125.192 eV for the cell shown

```
data_Ca2Tl3TeO6
_chemical_formula_sum 'Ca4 Tl6 Te2 O12'
_symmetry_space_group_name_H-M 'C 1 2/m 1'
_symmetry_Int_Tables_number 12
_cell_length_a 5.903
_cell_length_b 10.183
_cell_length_c 7.307
_cell_angle_alpha 90.00
_cell_angle_beta 108.27
_cell_angle_gamma 90.00
loop_
_symmetry_equiv_pos_as_xyz
'x,y,z'
'-x,-y,-z'
'-x,y,-z'
'x,-y,z'
'x+1/2,y+1/2,z'
'-x+1/2,-y+1/2,-z'
'-x+1/2,y+1/2,-z'
'x+1/2,-y+1/2,z'
loop_
_atom_site_label
_atom_site_type_symbol
_atom_site_fract_x
_atom_site_fract_y
_atom_site_fract_z
Ca1 Ca 0.000 0.167 0.000
Tl1 Tl 0.000 0.000 0.500
Tl2 Tl 0.000 0.340 0.500
Te1 Te 0.000 0.500 0.000
O1 O 0.202 0.359 0.155
O2 O 0.218 0.500 0.841
```

(14)
Material: Ca2TlTe2O6
Method: DFT, PBE
State: relaxed

Output
formation energy without anion corrections = -146.0 kJ/mol of atoms
E = -59.047 eV for the cell shown

```
data_Ca2TlTe2O6
_chemical_formula_sum 'Ca2 Tl1 Te2 O6'
_symmetry_space_group_name_H-M 'P -1'
_symmetry_Int_Tables_number 2
_cell_length_a 6.009
_cell_length_b 6.284
_cell_length_c 6.688
_cell_angle_alpha 68.36
_cell_angle_beta 89.82
_cell_angle_gamma 61.74
loop_
_symmetry_equiv_pos_as_xyz
'x,y,z'
'-x,-y,-z'
loop_
_atom_site_label
_atom_site_type_symbol
_atom_site_fract_x
_atom_site_fract_y
_atom_site_fract_z
Ca1 Ca 0.168 0.149 0.049
Tl1 Tl 0.500 0.500 0.000
Te1 Te 0.220 0.198 0.546
O1 O 0.130 0.972 0.794
O2 O 0.218 0.441 0.165
O3 O 0.417 0.222 0.758
```

(15)
Material: Ca2Tl2TeO6
Method: DFT, PBE
State: relaxed

Output
formation energy without anion corrections = -165.5 kJ/mol of atoms
E = -120.996 eV for the cell shown

```
data_Ca2Tl2TeO6
_chemical_formula_sum 'Ca4 Tl4 Te2 O12'
_symmetry_space_group_name_H-M 'C 1 2/m 1'
_symmetry_Int_Tables_number 12
_cell_length_a 5.944
_cell_length_b 10.128
_cell_length_c 6.741
_cell_angle_alpha 90.00
_cell_angle_beta 105.28
_cell_angle_gamma 90.00
loop_
_symmetry_equiv_pos_as_xyz
'x,y,z'
'-x,-y,-z'
'-x,y,-z'
'x,-y,z'
'x+1/2,y+1/2,z'
'-x+1/2,-y+1/2,-z'
'-x+1/2,y+1/2,-z'
'x+1/2,-y+1/2,z'
loop_
_atom_site_label
_atom_site_type_symbol
_atom_site_fract_x
_atom_site_fract_y
_atom_site_fract_z
Ca1 Ca 0.000 0.165 0.000
Tl1 Tl 0.000 0.331 0.500
Te1 Te 0.000 0.500 0.000
O1 O 0.192 0.359 0.162
O2 O 0.221 0.500 0.822
```

(16)
Material: CaTmTe2O8
Method: DFT, PBE
State: relaxed

Output
formation energy without anion corrections = -178.6 kJ/mol of atoms
E = -149.280 eV for the cell shown

```
data_CaTmTe2O8
_chemical_formula_sum 'Ca2 Tm2 Te4 O16'
_symmetry_space_group_name_H-M 'I -4'
_symmetry_Int_Tables_number 82
_cell_length_a 5.282
_cell_length_b 5.282
_cell_length_c 11.357
_cell_angle_alpha 90.00
_cell_angle_beta 90.00
_cell_angle_gamma 90.00
loop_
_symmetry_equiv_pos_as_xyz
'x,y,z'
'y,-x,-z'
'-x,-y,z'
'-y,x,-z'
'x+1/2,y+1/2,z+1/2'
'y+1/2,-x+1/2,-z+1/2'
'-x+1/2,-y+1/2,z+1/2'
'-y+1/2,x+1/2,-z+1/2'
loop_
_atom_site_label
_atom_site_type_symbol
_atom_site_fract_x
_atom_site_fract_y
_atom_site_fract_z
Ca1 Ca 0.000 0.000 0.000
Tm1 Tm 0.000 0.500 0.750
Te1 Te 0.000 0.000 0.500
Te2 Te 0.000 0.500 0.250
O1 O 0.171 0.261 0.593
O2 O 0.180 0.747 0.166
```

(17)
Material: CaUTeO6
Method: DFT, PBE
State: relaxed

Output
formation energy without anion corrections = -230.5 kJ/mol of atoms
E = -135.366 eV for the cell shown

```
data_CaUTeO6
_chemical_formula_sum 'Ca2 U2 Te2 O12'
_symmetry_space_group_name_H-M 'P -3 1 c'
_symmetry_Int_Tables_number 163
_symmetry_space_group_name_Hall '-P 3 2c'
_cell_length_a 5.7351
_cell_length_b 5.7351
_cell_length_c 9.7582
_cell_angle_alpha 90.00
_cell_angle_beta 90.00
_cell_angle_gamma 120.00
loop_
_atom_site_label
_atom_site_type_symbol
_atom_site_fract_x
_atom_site_fract_y
_atom_site_fract_z
Ca1 Ca 0.0000 0.0000 0.0000
U1 U 0.3333 0.6667 0.2500
Te1 Te 0.3333 0.6667 0.7500
O1 O 0.0098 0.3613 0.1389
```